Compound: PuPa2Cu
Source: the Alexandria database
Functional: GGA-PBE
Structure: optimized geometry

Values from the calculation:
Its symmetry is P4/mmm (123). The value obtained for the excess energy over the best structure of this formula in the dataset is 0 meV per atom. As for the formation enthalpy at 0 K: 23 meV/atom.

Cell lengths 5.150, 5.150, 3.172 Å; angles 90.00, 90.00, 90.00 degrees
Sites, in units of the cell vectors:
Pu 0.000 0.000 0.000
Pa 0.000 0.500 0.500
Pa 0.500 0.000 0.500
Cu 0.500 0.500 0.000



Compound: PuPaCu2
Source: the Alexandria database
Functional: GGA-PBE
Structure: optimized geometry

Values from the calculation:
Its symmetry is R-3m (166). The value obtained for the excess energy over the best structure of this formula in the dataset is 178 meV per atom. As for the formation enthalpy at 0 K: 277 meV/atom.

Cell lengths 9.740, 9.740, 9.740 Å; angles 18.34, 18.34, 18.34 degrees
Sites, in units of the cell vectors:
Pu 0.000 0.000 0.000
Pa 0.500 0.500 0.500
Cu 0.250 0.250 0.250
Cu 0.750 0.750 0.750



Compound: PuPaCu2
Source: the Alexandria database
Functional: GGA-PBE
Structure: optimized geometry

Values from the calculation:
Its symmetry is P4/mmm (123). The value obtained for the excess energy over the best structure of this formula in the dataset is 0 meV per atom. As for the formation enthalpy at 0 K: 99 meV/atom.

Cell lengths 3.019, 3.019, 8.439 Å; angles 90.00, 90.00, 90.00 degrees
Sites, in units of the cell vectors:
Pu 0.000 0.000 0.000
Pa 0.000 0.000 0.500
Cu 0.500 0.500 0.256
Cu 0.500 0.500 0.744



Compound: PuPaCu10
Source: the Alexandria database
Functional: GGA-PBE
Structure: optimized geometry

Values from the calculation:
Its symmetry is Pmmm (47). As for the formation enthalpy at 0 K: 1 meV/atom.

Cell lengths 4.077, 5.082, 8.749 Å; angles 90.00, 90.00, 90.00 degrees
Sites, in units of the cell vectors:
Pu 0.000 0.000 0.000
Pa 0.000 0.500 0.500
Cu 0.000 0.000 0.335
Cu 0.000 0.000 0.665
Cu 0.000 0.500 0.168
Cu 0.000 0.500 0.832
Cu 0.500 0.000 0.500
Cu 0.500 0.254 0.255
Cu 0.500 0.254 0.745
Cu 0.500 0.500 0.000
Cu 0.500 0.746 0.255
Cu 0.500 0.746 0.745



Compound: PuPaCu2
Source: the Alexandria database
Functional: GGA-PBE
Structure: optimized geometry

Values from the calculation:
Its symmetry is Cmmm (65). The value obtained for the excess energy over the best structure of this formula in the dataset is 6 meV per atom. As for the formation enthalpy at 0 K: 105 meV/atom.

Cell lengths 5.178, 5.178, 3.034 Å; angles 90.00, 90.00, 110.74 degrees
Sites, in units of the cell vectors:
Pu 0.000 0.000 0.000
Pa 0.500 0.500 0.000
Cu 0.000 0.500 0.500
Cu 0.500 0.000 0.500



Compound: PuPaCu2
Source: the Alexandria database
Functional: GGA-PBE
Structure: optimized geometry

Values from the calculation:
Its symmetry is P4/mmm (123). The value obtained for the excess energy over the best structure of this formula in the dataset is 15 meV per atom. As for the formation enthalpy at 0 K: 114 meV/atom.

Cell lengths 4.232, 4.232, 4.250 Å; angles 90.00, 90.00, 90.00 degrees
Sites, in units of the cell vectors:
Pu 0.000 0.000 0.000
Pa 0.500 0.500 0.000
Cu 0.000 0.500 0.500
Cu 0.500 0.000 0.500



Compound: PuPaCuRh
Source: the Alexandria database
Functional: GGA-PBE
Structure: optimized geometry

Values from the calculation:
Its symmetry is F-43m (216). As for the formation enthalpy at 0 K: -423 meV/atom.

Cell lengths 4.680, 4.680, 4.680 Å; angles 60.00, 60.00, 60.00 degrees
Sites, in units of the cell vectors:
Pu 0.000 0.000 0.000
Pa 0.250 0.250 0.250
Cu 0.750 0.750 0.750
Rh 0.500 0.500 0.500



Compound: PuPaCuRu
Source: the Alexandria database
Functional: GGA-PBE
Structure: optimized geometry

Values from the calculation:
Its symmetry is F-43m (216). As for the formation enthalpy at 0 K: -259 meV/atom.

Cell lengths 4.646, 4.646, 4.646 Å; angles 60.00, 60.00, 60.00 degrees
Sites, in units of the cell vectors:
Pu 0.000 0.000 0.000
Pa 0.250 0.250 0.250
Cu 0.750 0.750 0.750
Ru 0.500 0.500 0.500



Compound: PuPa2Cu2Si2
Source: the Alexandria database
Functional: GGA-PBE
Structure: optimized geometry

Values from the calculation:
Its symmetry is R-3m (166). The energy relative to the elements, uncorrected is -0.221 eV/atom.

Cell lengths 9.246, 9.246, 9.246 Å; angles 25.89, 25.89, 25.89 degrees
Sites, in units of the cell vectors:
Pu 0.000 0.000 0.000
Pa 0.140 0.140 0.140
Pa 0.860 0.860 0.860
Cu 0.405 0.405 0.405
Cu 0.595 0.595 0.595
Si 0.263 0.263 0.263
Si 0.737 0.737 0.737



Compound: PuPaCuTc
Source: the Alexandria database
Functional: GGA-PBE
Structure: optimized geometry

Values from the calculation:
Its symmetry is F-43m (216). The value obtained for the excess energy over the best structure of this formula in the dataset is 129 meV per atom. As for the formation enthalpy at 0 K: 38 meV/atom.

Cell lengths 4.837, 4.837, 4.837 Å; angles 60.00, 60.00, 60.00 degrees
Sites, in units of the cell vectors:
Pu 0.000 0.000 0.000
Pa 0.500 0.500 0.500
Cu 0.750 0.750 0.750
Tc 0.250 0.250 0.250



Compound: PuPaCuTc
Source: the Alexandria database
Functional: GGA-PBE
Structure: optimized geometry

Values from the calculation:
Its symmetry is F-43m (216). The value obtained for the excess energy over the best structure of this formula in the dataset is 0 meV per atom. As for the formation enthalpy at 0 K: -91 meV/atom.

Cell lengths 4.657, 4.657, 4.657 Å; angles 60.00, 60.00, 60.00 degrees
Sites, in units of the cell vectors:
Pu 0.000 0.000 0.000
Pa 0.750 0.750 0.750
Cu 0.250 0.250 0.250
Tc 0.500 0.500 0.500



Compound: Rb2Pa2CuS6
Source: the Alexandria database
Functional: GGA-PBE
Structure: optimized geometry

Values from the calculation:
Its symmetry is C2/m (12). The energy relative to the elements, uncorrected is -1.331 eV/atom.

Cell lengths 7.299, 7.299, 8.034 Å; angles 96.04, 96.04, 126.13 degrees
Sites, in units of the cell vectors:
Rb 0.144 0.856 0.000
Rb 0.856 0.144 0.000
Pa 0.338 0.662 0.500
Pa 0.662 0.338 0.500
Cu 0.000 0.000 0.500
S 0.044 0.443 0.699
S 0.248 0.248 0.350
S 0.443 0.044 0.699
S 0.557 0.956 0.301
S 0.752 0.752 0.650
S 0.956 0.557 0.301



Compound: RbPa2CuS6
Source: the Alexandria database
Functional: GGA-PBE
Structure: optimized geometry

Values from the calculation:
Its symmetry is C2/c (15). The energy relative to the elements, uncorrected is -1.111 eV/atom.

Cell lengths 9.724, 9.724, 7.883 Å; angles 104.39, 104.39, 102.26 degrees
Sites, in units of the cell vectors:
Rb 0.101 0.899 0.750
Rb 0.899 0.101 0.250
Pa 0.273 0.458 0.853
Pa 0.458 0.273 0.353
Pa 0.542 0.727 0.647
Pa 0.727 0.542 0.147
Cu 0.179 0.821 0.250
Cu 0.821 0.179 0.750
S 0.056 0.234 0.720
S 0.174 0.655 0.984
S 0.234 0.056 0.220
S 0.323 0.453 0.528
S 0.345 0.826 0.516
S 0.453 0.323 0.028
S 0.547 0.677 0.972
S 0.655 0.174 0.484
S 0.677 0.547 0.472
S 0.766 0.944 0.780
S 0.826 0.345 0.016
S 0.944 0.766 0.280



Compound: Rb3PaCu2S6
Source: the Alexandria database
Functional: GGA-PBE
Structure: optimized geometry

Values from the calculation:
Its symmetry is C2/m (12). The energy relative to the elements, uncorrected is -0.911 eV/atom.

Cell lengths 8.158, 8.158, 7.821 Å; angles 97.93, 97.93, 134.97 degrees
Sites, in units of the cell vectors:
Rb 0.000 0.000 0.000
Rb 0.324 0.676 0.000
Rb 0.676 0.324 0.000
Pa 0.500 0.500 0.500
Cu 0.090 0.910 0.500
Cu 0.910 0.090 0.500
S 0.082 0.347 0.333
S 0.281 0.281 0.732
S 0.347 0.082 0.333
S 0.653 0.918 0.667
S 0.719 0.719 0.268
S 0.918 0.653 0.667



Compound: RbPaCuS4
Source: the Alexandria database
Functional: GGA-PBE
Structure: optimized geometry

Values from the calculation:
Its symmetry is P2_1/m (11). The energy relative to the elements, uncorrected is -1.163 eV/atom.

Cell lengths 6.726, 5.593, 9.331 Å; angles 90.00, 106.54, 90.00 degrees
Sites, in units of the cell vectors:
Rb 0.248 0.250 0.048
Rb 0.752 0.750 0.952
Pa 0.268 0.250 0.557
Pa 0.732 0.750 0.443
Cu 0.248 0.750 0.332
Cu 0.752 0.250 0.668
S 0.014 0.516 0.692
S 0.014 0.984 0.692
S 0.427 0.750 0.579
S 0.462 0.750 0.184
S 0.538 0.250 0.816
S 0.573 0.250 0.421
S 0.986 0.016 0.308
S 0.986 0.484 0.308



Compound: RbPa3Cu4S12
Source: the Alexandria database
Functional: GGA-PBE
Structure: optimized geometry

Values from the calculation:
Its symmetry is R32 (155). The energy relative to the elements, uncorrected is -0.809 eV/atom.

Cell lengths 8.638, 8.638, 8.638 Å; angles 105.66, 105.66, 105.66 degrees
Sites, in units of the cell vectors:
Rb 0.000 0.000 0.000
Pa 0.000 0.560 0.440
Pa 0.440 0.000 0.560
Pa 0.560 0.440 0.000
Cu 0.063 0.500 0.937
Cu 0.500 0.500 0.500
Cu 0.500 0.937 0.063
Cu 0.937 0.063 0.500
S 0.065 0.642 0.764
S 0.097 0.903 0.500
S 0.236 0.358 0.935
S 0.340 0.660 0.500
S 0.358 0.935 0.236
S 0.500 0.097 0.903
S 0.500 0.340 0.660
S 0.642 0.764 0.065
S 0.660 0.500 0.340
S 0.764 0.065 0.642
S 0.903 0.500 0.097
S 0.935 0.236 0.358



Compound: Rb3Pa3CuS8
Source: the Alexandria database
Functional: GGA-PBE
Structure: optimized geometry

Values from the calculation:
Its symmetry is C2/m (12). The energy relative to the elements, uncorrected is -1.334 eV/atom.

Cell lengths 7.871, 7.871, 8.755 Å; angles 113.17, 113.17, 64.79 degrees
Sites, in units of the cell vectors:
Rb 0.000 0.000 0.000
Rb 0.000 0.500 0.000
Rb 0.500 0.000 0.000
Pa 0.000 0.500 0.500
Pa 0.500 0.000 0.500
Pa 0.500 0.500 0.500
Cu 0.000 0.000 0.500
S 0.194 0.194 0.657
S 0.255 0.689 0.705
S 0.266 0.266 0.305
S 0.311 0.745 0.295
S 0.689 0.255 0.705
S 0.734 0.734 0.695
S 0.745 0.311 0.295
S 0.806 0.806 0.343



Compound: Rb2PaCuS5
Source: the Alexandria database
Functional: GGA-PBE
Structure: optimized geometry

Values from the calculation:
Its symmetry is Cmc2_1 (36). The energy relative to the elements, uncorrected is -1.018 eV/atom.

Cell lengths 10.278, 10.278, 13.700 Å; angles 90.00, 90.00, 157.10 degrees
Sites, in units of the cell vectors:
Rb 0.124 0.876 0.500
Rb 0.126 0.874 0.858
Rb 0.874 0.126 0.358
Rb 0.876 0.124 0.000
Pa 0.205 0.795 0.185
Pa 0.795 0.205 0.685
Cu 0.413 0.587 0.579
Cu 0.587 0.413 0.079
S 0.071 0.929 0.152
S 0.299 0.701 0.555
S 0.307 0.693 0.810
S 0.328 0.672 0.182
S 0.491 0.509 0.471
S 0.509 0.491 0.971
S 0.672 0.328 0.682
S 0.693 0.307 0.310
S 0.701 0.299 0.055
S 0.929 0.071 0.652



Compound: RbPa4Cu3S12
Source: the Alexandria database
Functional: GGA-PBE
Structure: optimized geometry

Values from the calculation:
Its symmetry is Im-3 (204). The energy relative to the elements, uncorrected is -1.141 eV/atom.

Cell lengths 8.467, 8.467, 8.467 Å; angles 109.47, 109.47, 109.47 degrees
Sites, in units of the cell vectors:
Rb 0.000 0.000 0.000
Pa 0.000 0.000 0.500
Pa 0.000 0.500 0.000
Pa 0.500 0.000 0.000
Pa 0.500 0.500 0.500
Cu 0.000 0.500 0.500
Cu 0.500 0.000 0.500
Cu 0.500 0.500 0.000
S 0.152 0.320 0.832
S 0.168 0.488 0.320
S 0.168 0.848 0.680
S 0.320 0.168 0.488
S 0.320 0.832 0.152
S 0.488 0.320 0.168
S 0.512 0.680 0.832
S 0.680 0.168 0.848
S 0.680 0.832 0.512
S 0.832 0.152 0.320
S 0.832 0.512 0.680
S 0.848 0.680 0.168



Compound: Rb4Pa3CuS8
Source: the Alexandria database
Functional: GGA-PBE
Structure: optimized geometry

Values from the calculation:
Its symmetry is C2/m (12). The energy relative to the elements, uncorrected is -1.289 eV/atom.

Cell lengths 8.109, 8.109, 9.048 Å; angles 116.84, 116.84, 59.13 degrees
Sites, in units of the cell vectors:
Rb 0.000 0.000 0.000
Rb 0.000 0.500 0.000
Rb 0.500 0.000 0.000
Rb 0.500 0.500 0.000
Pa 0.000 0.000 0.500
Pa 0.000 0.500 0.500
Pa 0.500 0.000 0.500
Cu 0.500 0.500 0.500
S 0.231 0.231 0.696
S 0.232 0.726 0.687
S 0.262 0.262 0.303
S 0.274 0.768 0.313
S 0.726 0.232 0.687
S 0.738 0.738 0.697
S 0.768 0.274 0.313
S 0.769 0.769 0.304



One value per record, in order, for raw total energy: -9.332 -7.728 -7.906 -5.399 -7.900 -7.891 -9.242 -9.558 -7.702 -9.534 -9.664 -5.857 -5.993 -4.691 -5.602 -5.577 -5.901 -5.036 -6.179 -5.631 eV/atom.